(1)
First-principles (PBE) data for a relaxed structure of HfHOs2I, as listed in Alexandria.

a = 4.9741 Å, b = 4.9741 Å, c = 5.8260 Å
α = 90.00°, β = 90.00°, γ = 90.00°
Last column: nearest neighbours and their distance in Å.
Space group P4/mmm (No. 123)
Symmetry-distinct sites (fractional):
Hf  0.0000  0.0000  0.0000 x1  4 Os 2.49
H  0.5000  0.5000  0.5000 x1  4 I 3.52, 8 Os 3.83
Os  0.0000  0.5000  0.0000 x2  2 Hf 2.49
I  0.0000  0.0000  0.5000 x1  2 Hf 2.91

- crystal system = tetragonal
- energy (eV per atom) = -5.284
- Fermi-level density of states (states/eV per cell) = 3.27

---

(2)
First-principles (PBE) data for a relaxed structure of Ti3Tc3W, as listed in Alexandria.

a = 7.8232 Å, b = 9.1181 Å, c = 6.3563 Å
α = 90.00°, β = 91.19°, γ = 90.00°
Last column: nearest neighbours and their distance in Å.
Space group C2/m (No. 12)
Symmetry-distinct sites (fractional):
Ti  0.0086  0.0000  0.2544 x4  5 Tc 2.65-2.70, 1 W 2.80, 2 Ti 2.96
Ti  0.2399  0.2717  0.2507 x8  4 Tc 2.47-2.61
Tc  0.0000  0.2298  0.0000 x4  6 Ti 2.47-2.65
Tc  0.0000  0.2358  0.5000 x4  6 Ti 2.50-2.66
Tc  0.1852  0.5000  0.5413 x4  1 W 2.48, 1 Ti 2.70
W  0.1693  0.5000  0.9303 x4  1 Tc 2.48

- crystal system = monoclinic
- energy (eV per atom) = -9.635
- Fermi-level density of states (states/eV per cell) = 21.77

---

(3)
First-principles (PBE) data for a relaxed structure of KCr2Ir, as listed in Alexandria.

a = 3.0065 Å, b = 4.7705 Å, c = 5.0510 Å
α = 90.00°, β = 90.00°, γ = 90.00°
Last column: nearest neighbours and their distance in Å.
Space group Pmmm (No. 47)
Symmetry-distinct sites (fractional):
K  0.0000  0.0000  0.0000 x1  4 Cr 2.82, 4 Ir 2.94, 2 K 3.01
Cr  0.0000  0.5000  0.5000 x1  4 Ir 2.82, 6 Cr 2.94-3.01
Cr  0.5000  0.5000  0.0000 x1  4 K 2.82, 6 Cr 2.94-3.01
Ir  0.5000  0.0000  0.5000 x1  4 Cr 2.82, 4 K 2.94, 2 Ir 3.01

- crystal system = orthorhombic
- E above lowest polymorph (meV/atom) = 572
- Fermi-level density of states (states/eV per cell) = 3.51

---

(4)
First-principles (PBE) data for a relaxed structure of Zn2InBi, as listed in Alexandria.

a = 4.6617 Å, b = 4.6617 Å, c = 4.2905 Å
α = 90.00°, β = 90.00°, γ = 90.00°
Last column: nearest neighbours and their distance in Å.
Space group P4/mmm (No. 123)
Symmetry-distinct sites (fractional):
Zn  0.0000  0.5000  0.0000 x2  4 In 3.17, 4 Bi 3.17, 4 Zn 3.30
In  0.0000  0.0000  0.5000 x1  8 Zn 3.17, 4 Bi 3.30
Bi  0.5000  0.5000  0.5000 x1  8 Zn 3.17, 4 In 3.30

- crystal system = tetragonal
- E above lowest polymorph (meV/atom) = 33
- Fermi-level density of states (states/eV per cell) = 1.93

---

(5)
First-principles (PBE) data for a relaxed structure of Cr2FeTc, as listed in Alexandria.

a = 3.2247 Å, b = 3.9461 Å, c = 7.6484 Å
α = 90.00°, β = 90.00°, γ = 90.00°
Last column: nearest neighbours and their distance in Å.
Space group Cmmm (No. 65)
Symmetry-distinct sites (fractional):
Cr  0.0000  0.0000  0.2240 x4  4 Fe 2.35-2.61, 4 Cr 2.55
Fe  0.0000  0.5000  0.0000 x2  8 Cr 2.35-2.61, 4 Fe 2.55
Tc  0.0000  0.5000  0.5000 x2  4 Tc 2.55, 4 Cr 2.66

- crystal system = orthorhombic
- E above lowest polymorph (meV/atom) = 69
- Fermi-level density of states (states/eV per cell) = 6.37

---

(6)
First-principles (PBE) data for a relaxed structure of Pu6SnRu5, as listed in Alexandria.

a = 5.5265 Å, b = 6.1038 Å, c = 7.3983 Å
α = 78.22°, β = 80.40°, γ = 83.16°
Last column: nearest neighbours and their distance in Å.
Space group P-1 (No. 2)
Symmetry-distinct sites (fractional):
Pu  0.0400  0.2544  0.4780 x2  4 Ru 2.68-2.92
Pu  0.2175  0.2477  0.8944 x2  3 Ru 2.66-2.91, 1 Pu 2.94
Pu  0.3077  0.7836  0.8287 x2  3 Ru 2.64-2.86, 1 Pu 2.94
Sn  0.5000  0.5000  0.5000 x1  4 Ru 2.97-3.05, 8 Pu 3.14-3.25
Ru  0.2302  0.9564  0.2140 x2  3 Pu 2.66-2.92, 2 Ru 2.75-2.85
Ru  0.2553  0.5175  0.1688 x2  5 Pu 2.69-2.91, 1 Ru 2.75, 1 Sn 2.97
Ru  0.5000  0.0000  0.5000 x1  4 Pu 2.64-2.83, 2 Ru 2.85

- crystal system = triclinic
- energy (eV per atom) = -11.437
- Fermi-level density of states (states/eV per cell) = 37.89

---

(7)
First-principles (PBE) data for a relaxed structure of LaNb2Cu2, as listed in Alexandria.

a = 3.9412 Å, b = 3.9412 Å, c = 12.8238 Å
α = 90.00°, β = 90.00°, γ = 90.00°
Last column: nearest neighbours and their distance in Å.
Space group I4/mmm (No. 139)
Symmetry-distinct sites (fractional):
La  0.0000  0.0000  0.0000 x2  8 Cu 3.08
Nb  0.0000  0.5000  0.2500 x4  4 Cu 2.74, 4 Nb 2.79
Cu  0.0000  0.0000  0.3985 x4  1 Cu 2.60, 4 Nb 2.74

- crystal system = tetragonal
- E above lowest polymorph (meV/atom) = 0
- Fermi-level density of states (states/eV per cell) = 12.02

---

(8)
First-principles (PBE) data for a relaxed structure of La6CoRu2Br3, as listed in Alexandria.

a = 7.1430 Å, b = 12.3732 Å, c = 8.2845 Å
α = 90.00°, β = 106.72°, γ = 90.00°
Last column: nearest neighbours and their distance in Å.
Space group C2/m (No. 12)
Symmetry-distinct sites (fractional):
La  0.2300  0.1651  0.1946 x8  1 Co 2.82, 2 Ru 2.85
La  0.2347  0.5000  0.1948 x4  1 Co 2.82, 2 Ru 2.85
Co  0.0000  0.0000  0.0000 x2  6 La 2.82
Ru  0.0000  0.3335  0.0000 x4  6 La 2.85
Br  0.0000  0.1683  0.5000 x4  6 La 3.39-3.40
Br  0.0000  0.5000  0.5000 x2  6 La 3.39-3.41

- crystal system = monoclinic
- E_form (uncorrected) (eV/atom) = -0.89
- Fermi-level density of states (states/eV per cell) = 14.18